a.
A plane-wave DFT calculation with GGA-PBE was carried out for an optimized crystal structure of BeZn2P.

Output
As for the space-group type: Pmmm (47). The value obtained for the total magnetization is 0.0 μB per formula unit. The density comes out at 5.2 Mg/m³.

Lattice parameters (Å, degrees): 2.5537 2.6627 7.9976 90.00 90.00 90.00
Sites, in units of the cell vectors:
Zn (0.0000, 0.0000, 0.4583)
Zn (0.0000, 0.0000, 0.0417)
Be (0.5000, 0.5000, 0.2500)
P (0.5000, 0.5000, 0.7500)

b.
A plane-wave DFT calculation with GGA-PBE was carried out for an optimized crystal structure of BeZn2P.

Output
As for the space-group type: Cmmm (65). The value obtained for the total magnetization is 0.0 μB per formula unit. The density comes out at 5.2 Mg/m³.

Lattice parameters (Å, degrees): 4.6357 4.6357 2.6945 90.00 90.00 109.79
Sites, in units of the cell vectors:
Zn (0.0000, 0.0000, 0.0000)
Zn (0.5000, 0.5000, 0.0000)
Be (0.5000, 0.0000, 0.5000)
P (0.0000, 0.5000, 0.5000)

Most stable: b

a.
A plane-wave DFT calculation with GGA-PBE was carried out for an optimized crystal structure of BeZn2P.

Output
As for the space-group type: Pm (6). The value obtained for the total magnetization is 0.0 μB per formula unit. The density comes out at 5.1 Mg/m³.

Lattice parameters (Å, degrees): 3.2912 2.5665 6.7612 101.20 90.00 90.00
Sites, in units of the cell vectors:
Zn (0.0000, 0.6874, 0.0080)
Zn (0.5000, 0.3249, 0.2768)
Be (0.0000, 0.9585, 0.5320)
P (0.5000, 0.5293, 0.6832)

b.
A plane-wave DFT calculation with GGA-PBE was carried out for an optimized crystal structure of BeZn2P.

Output
As for the space-group type: Fm-3m (225). The value obtained for the total magnetization is 0.0 μB per formula unit. The density comes out at 4.9 Mg/m³.

Lattice parameters (Å, degrees): 4.3287 4.3287 4.3287 60.00 60.00 60.00
Sites, in units of the cell vectors:
Be (0.0000, 0.0000, 0.0000)
P (0.5000, 0.5000, 0.5000)
Zn (0.7500, 0.7500, 0.7500)
Zn (0.2500, 0.2500, 0.2500)

c.
A plane-wave DFT calculation with GGA-PBE was carried out for an optimized crystal structure of BeZn2P.

Output
As for the space-group type: P4/mmm (123). The value obtained for the total magnetization is 0.0 μB per formula unit. The density comes out at 5.2 Mg/m³.

Lattice parameters (Å, degrees): 3.6322 3.6322 4.1593 90.00 90.00 90.00
Sites, in units of the cell vectors:
P (0.0000, 0.5000, 0.5000)
Be (0.5000, 0.0000, 0.5000)
Zn (0.5000, 0.5000, 0.0000)
Zn (0.0000, 0.0000, 0.0000)

d.
A plane-wave DFT calculation with GGA-PBE was carried out for an optimized crystal structure of BeZn2P.

Output
As for the space-group type: I4/mmm (139). The value obtained for the total magnetization is 0.0 μB per formula unit. The density comes out at 5.2 Mg/m³.

Lattice parameters (Å, degrees): 4.9780 4.9780 4.9780 137.91 137.91 61.05
Sites, in units of the cell vectors:
Be (0.2500, 0.7500, 0.5000)
Zn (0.5000, 0.5000, 0.0000)
Zn (0.0000, 0.0000, 0.0000)
P (0.7500, 0.2500, 0.5000)

Most stable: a

a.
A plane-wave DFT calculation with GGA-PBE was carried out for an optimized crystal structure of BeZnP2.

Output
As for the space-group type: P4/mmm (123). The value obtained for the total magnetization is 0.0 μB per formula unit. The density comes out at 4.1 Mg/m³.

Lattice parameters (Å, degrees): 3.2457 3.2457 5.2860 90.00 90.00 90.00
Sites, in units of the cell vectors:
Zn (0.5000, 0.5000, 0.2500)
P (0.0000, 0.0000, 0.9521)
P (0.0000, 0.0000, 0.5479)
Be (0.5000, 0.5000, 0.7500)

b.
A plane-wave DFT calculation with GGA-PBE was carried out for an optimized crystal structure of BeZnP2.

Output
As for the space-group type: Cmmm (65). The value obtained for the total magnetization is 0.0 μB per formula unit. The density comes out at 4.0 Mg/m³.

Lattice parameters (Å, degrees): 2.9372 2.9372 6.8212 90.00 90.00 108.05
Sites, in units of the cell vectors:
Be (0.5000, 0.5000, 0.7500)
P (0.0000, 0.0000, 0.5367)
P (0.0000, 0.0000, 0.9633)
Zn (0.5000, 0.5000, 0.2500)

Most stable: a

a.
A plane-wave DFT calculation with GGA-PBE was carried out for an optimized crystal structure of Zr2BeP.

Output
As for the space-group type: P4mm (99). The value obtained for the total magnetization is 0.0 μB per formula unit. The density comes out at 5.4 Mg/m³.

Lattice parameters (Å, degrees): 3.1217 3.1217 6.9694 90.00 90.00 90.00
Sites, in units of the cell vectors:
Zr (0.0000, 0.0000, 0.9488)
Zr (0.5000, 0.5000, 0.3010)
Be (0.0000, 0.0000, 0.5629)
P (0.5000, 0.5000, 0.6873)

b.
A plane-wave DFT calculation with GGA-PBE was carried out for an optimized crystal structure of Zr2BeP.

Output
As for the space-group type: Pmmm (47). The value obtained for the total magnetization is 0.0 μB per formula unit. The density comes out at 5.6 Mg/m³.

Lattice parameters (Å, degrees): 3.9896 4.5663 3.6471 90.00 90.00 90.00
Sites, in units of the cell vectors:
Be (0.5000, 0.0000, 0.5000)
P (0.0000, 0.5000, 0.5000)
Zr (0.5000, 0.5000, 0.0000)
Zr (0.0000, 0.0000, 0.0000)

c.
A plane-wave DFT calculation with GGA-PBE was carried out for an optimized crystal structure of Zr2BeP.

Output
As for the space-group type: P2_1/m (11). The value obtained for the total magnetization is 0.0 μB per formula unit. The density comes out at 5.7 Mg/m³.

Lattice parameters (Å, degrees): 3.5696 5.1956 7.4390 110.78 90.00 90.00
Sites, in units of the cell vectors:
Be (0.2500, 0.3589, 0.7165)
Be (0.7500, 0.6411, 0.2835)
P (0.7500, 0.6303, 0.7836)
P (0.2500, 0.3697, 0.2164)
Zr (0.2500, 0.7930, 0.0731)
Zr (0.7500, 0.2091, 0.4271)
Zr (0.2500, 0.7909, 0.5729)
Zr (0.7500, 0.2070, 0.9269)

Most stable: c

a.
A plane-wave DFT calculation with GGA-PBE was carried out for an optimized crystal structure of ZrBeP.

Output
As for the space-group type: F-43m (216). The value obtained for the total magnetization is 0.0 μB per formula unit. The density comes out at 4.9 Mg/m³.

Lattice parameters (Å, degrees): 3.9836 3.9836 3.9836 60.00 60.00 60.00
Sites, in units of the cell vectors:
P (0.0000, 0.0000, 0.0000)
Zr (0.5000, 0.5000, 0.5000)
Be (0.2500, 0.2500, 0.2500)

b.
A plane-wave DFT calculation with GGA-PBE was carried out for an optimized crystal structure of ZrBeP.

Output
As for the space-group type: Imm2 (44). The value obtained for the total magnetization is 0.0 μB per formula unit. The density comes out at 5.0 Mg/m³.

Lattice parameters (Å, degrees): 5.0324 5.0324 5.0324 143.12 144.68 51.99
Sites, in units of the cell vectors:
Be (0.9642, 0.9642, 0.0000)
Zr (0.6675, 0.6675, 0.0000)
P (0.3683, 0.3683, 0.0000)

Most stable: b

a.
A plane-wave DFT calculation with GGA-PBE was carried out for an optimized crystal structure of ZrBeP.

Output
As for the space-group type: P-6m2 (187). The value obtained for the total magnetization is 0.0 μB per formula unit. The density comes out at 5.3 Mg/m³.

Lattice parameters (Å, degrees): 3.6436 3.6436 3.6068 90.00 90.00 120.00
Sites, in units of the cell vectors:
Be (0.0000, 0.0000, 0.1667)
Zr (0.3333, 0.6667, 0.6666)
P (0.6667, 0.3333, 0.1666)

b.
A plane-wave DFT calculation with GGA-PBE was carried out for an optimized crystal structure of ZrBeP.

Output
As for the space-group type: F-43m (216). The value obtained for the total magnetization is 0.0 μB per formula unit. The density comes out at 4.5 Mg/m³.

Lattice parameters (Å, degrees): 4.1052 4.1052 4.1052 60.00 60.00 60.00
Sites, in units of the cell vectors:
Zr (0.0000, 0.0000, 0.0000)
P (0.2500, 0.2500, 0.2500)
Be (0.5000, 0.5000, 0.5000)

c.
A plane-wave DFT calculation with GGA-PBE was carried out for an optimized crystal structure of ZrBeP.

Output
As for the space-group type: F-43m (216). The value obtained for the total magnetization is 0.0 μB per formula unit. The density comes out at 4.0 Mg/m³.

Lattice parameters (Å, degrees): 4.2492 4.2492 4.2492 60.00 60.00 60.00
Sites, in units of the cell vectors:
P (0.5000, 0.5000, 0.5000)
Zr (0.2500, 0.2500, 0.2500)
Be (0.0000, 0.0000, 0.0000)

Most stable: a

a.
A plane-wave DFT calculation with GGA-PBE was carried out for an optimized crystal structure of ZrBe3P.

Output
As for the space-group type: Pm-3m (221). The value obtained for the total magnetization is 0.0 μB per formula unit. The density comes out at 2.5 Mg/m³.

Lattice parameters (Å, degrees): 4.6369 4.6369 4.6369 90.00 90.00 90.00
Sites, in units of the cell vectors:
Be (0.0000, 0.0000, 0.5000)
Be (0.0000, 0.5000, 0.0000)
Be (0.5000, 0.0000, 0.0000)
P (0.5000, 0.5000, 0.5000)
Zr (0.0000, 0.0000, 0.0000)

b.
A plane-wave DFT calculation with GGA-PBE was carried out for an optimized crystal structure of ZrBe3P.

Output
As for the space-group type: Pm-3m (221). The value obtained for the total magnetization is 0.0 μB per formula unit. The density comes out at 3.6 Mg/m³.

Lattice parameters (Å, degrees): 4.0967 4.0967 4.0967 90.00 90.00 90.00
Sites, in units of the cell vectors:
Be (0.5000, 0.0000, 0.0000)
Be (0.0000, 0.0000, 0.5000)
Be (0.0000, 0.5000, 0.0000)
Zr (0.5000, 0.5000, 0.5000)
P (0.0000, 0.0000, 0.0000)

Most stable: b

a.
A plane-wave DFT calculation with GGA-PBE was carried out for an optimized crystal structure of ZrBeP3.

Output
As for the space-group type: Pm-3m (221). The value obtained for the total magnetization is 0.0 μB per formula unit. The density comes out at 4.0 Mg/m³.

Lattice parameters (Å, degrees): 4.2946 4.2946 4.2946 90.00 90.00 90.00
Sites, in units of the cell vectors:
Be (0.0000, 0.0000, 0.0000)
P (0.0000, 0.0000, 0.5000)
P (0.5000, 0.0000, 0.0000)
P (0.0000, 0.5000, 0.0000)
Zr (0.5000, 0.5000, 0.5000)

b.
A plane-wave DFT calculation with GGA-PBE was carried out for an optimized crystal structure of ZrBeP3.

Output
As for the space-group type: Pm-3m (221). The value obtained for the total magnetization is 0.0 μB per formula unit. The density comes out at 2.6 Mg/m³.

Lattice parameters (Å, degrees): 4.9895 4.9895 4.9895 90.00 90.00 90.00
Sites, in units of the cell vectors:
Be (0.5000, 0.5000, 0.5000)
P (0.0000, 0.5000, 0.0000)
P (0.0000, 0.0000, 0.5000)
P (0.5000, 0.0000, 0.0000)
Zr (0.0000, 0.0000, 0.0000)

Most stable: a